No. 1
PBE Ho2ZnRu3, optimized geometry; total energy = -40.27 eV per cell; SG = No. 166; ρ = 10828 kg/m3; ΔH_f (0 K) = -0.336 eV per atom; calculated volume = 17.85 Å³/atom
1.0
-1.6631 -4.9768 -1.0849
3.8698 2.2269 -2.9626
2.7865 1.0002 4.3990
Ru Zn Ho
3 1 2
Direct
0.5000 0.5000 0.5000
0.5000 0.0000 0.5000
0.0000 0.0000 0.5000
0.0000 0.0000 0.0000
0.7538 0.3769 0.1307
0.2462 0.6231 0.8693



No. 2
PBE Ho6ZnRu5, optimized geometry; total energy = -79.89 eV per cell; SG = No. 71; ρ = 10901 kg/m3; ΔH_f (0 K) = -0.398 eV per atom; calculated volume = 19.81 Å³/atom
1.0
-3.7134 -0.3711 3.0660
-4.0366 -2.0429 -5.1360
5.6520 -5.6334 2.3592
Ru Zn Ho
5 1 6
Direct
0.6641 0.1641 0.3281
0.6661 0.6661 0.3323
0.3339 0.3339 0.6677
0.3359 0.8359 0.6719
0.0000 0.5000 0.0000
0.0000 0.0000 0.0000
0.8294 0.5741 0.6588
0.1706 0.4259 0.3412
0.1706 0.9153 0.3412
0.5000 0.7402 0.0000
0.8294 0.0847 0.6588
0.5000 0.2598 0.0000



No. 3
PBE HoZn6Ru2, optimized geometry; total energy = -31.23 eV per cell; SG = No. 71; ρ = 8400 kg/m3; ΔH_f (0 K) = -0.051 eV per atom; calculated volume = 16.68 Å³/atom
1.0
-4.0715 -1.6201 -0.2283
-2.2485 -1.2025 6.4668
-4.0943 3.7591 4.1745
Zn Ru Ho
6 2 1
Direct
0.2962 0.9438 0.4639
0.5000 0.7020 0.2980
0.7038 0.0562 0.5361
0.5000 0.2980 0.7020
0.2962 0.4639 0.9438
0.7038 0.5361 0.0562
0.8900 0.6100 0.6100
0.1100 0.3900 0.3900
0.0000 0.0000 0.0000



No. 4
PBE Ho4ZnRu, optimized geometry; offset from the most stable computed form = 0.1681 eV/atom; total energy = -29.74 eV per cell; SG = No. 12; ρ = 8558 kg/m3; ΔH_f (0 K) = -0.147 eV per atom; calculated volume = 26.72 Å³/atom
1.0
4.8301 0.0000 0.0004
-0.0001 4.8309 0.0015
0.0061 0.0105 6.8704
Zn Ho Ru
1 4 1
Direct
0.5014 0.4972 0.9981
0.5016 0.9979 0.7376
0.5010 0.9966 0.2586
0.0010 0.4967 0.2587
0.0016 0.4979 0.7377
0.0012 0.9974 0.4982



No. 5
PBE Ho5Zn2Ru2, optimized geometry; total energy = -93.82 eV per cell; SG = No. 64; ρ = 9116 kg/m3; ΔH_f (0 K) = -0.324 eV per atom; calculated volume = 23.43 Å³/atom
1.0
7.4789 0.0000 0.0000
0.0000 7.2460 0.0000
0.0000 -3.6230 7.7823
Ho Zn Ru
10 4 4
Direct
0.1798 0.4494 0.2570
0.8202 0.5506 0.7430
0.1798 0.1924 0.7430
0.0000 0.0000 0.0000
0.6798 0.0506 0.7430
0.6798 0.3076 0.2570
0.3202 0.6924 0.7430
0.8202 0.8076 0.2570
0.3202 0.9494 0.2570
0.5000 0.5000 0.0000
0.0000 0.7823 0.5646
0.5000 0.7177 0.4354
0.0000 0.2177 0.4354
0.5000 0.2823 0.5646
0.3726 0.1195 0.0000
0.6274 0.8805 0.0000
0.8726 0.3805 0.0000
0.1274 0.6195 0.0000



No. 6
PBE Ho4Zn3Ru, optimized geometry; total energy = -34.47 eV per cell; SG = No. 123; ρ = 9165 kg/m3; ΔH_f (0 K) = -0.383 eV per atom; calculated volume = 21.68 Å³/atom
1.0
-2.0944 -1.7410 2.1870
2.6783 -0.4671 2.1930
-3.2576 12.1742 6.5718
Zn Ho Ru
3 4 1
Direct
0.5000 0.5000 0.2477
0.5000 0.5000 0.7523
0.5000 0.5000 0.5000
0.0000 0.0000 0.3730
0.0000 0.0000 0.6270
0.0000 0.0000 0.8856
0.0000 0.0000 0.1144
0.5000 0.5000 0.0000



No. 7
PBE Ho2ZnRu, optimized geometry; offset from the most stable computed form = 0.2796 eV/atom; total energy = -20.27 eV per cell; SG = No. 166; ρ = 8998 kg/m3; ΔH_f (0 K) = -0.141 eV per atom; calculated volume = 22.90 Å³/atom
1.0
3.5664 0.0000 0.0000
1.7832 3.0886 0.0000
1.7832 1.0295 8.3158
Ru Ho Zn
1 2 1
Direct
0.0000 0.0000 0.0000
0.2582 0.2582 0.2254
0.7418 0.7418 0.7746
0.5000 0.5000 0.5000



No. 8
PBE Ho2Zn15Ru2, optimized geometry; total energy = -50.66 eV per cell; SG = No. 166; ρ = 8362 kg/m3; ΔH_f (0 K) = -0.202 eV per atom; calculated volume = 15.81 Å³/atom
1.0
6.7408 -0.0432 -0.0385
0.8316 6.6894 -0.0385
0.8316 0.7299 6.6496
Zn Ho Ru
15 2 2
Direct
0.2868 0.0000 0.7132
0.0000 0.2868 0.7132
0.5000 0.0000 0.0000
0.0000 0.5000 0.0000
0.2868 0.7132 0.0000
0.3516 0.8498 0.3516
0.1502 0.6484 0.6484
0.7132 0.2868 0.0000
0.0000 0.7132 0.2868
0.6484 0.6484 0.1502
0.0000 0.0000 0.5000
0.8498 0.3516 0.3516
0.7132 0.0000 0.2868
0.3516 0.3516 0.8498
0.6484 0.1502 0.6484
0.6694 0.6694 0.6694
0.3306 0.3306 0.3306
0.1014 0.1014 0.1014
0.8986 0.8986 0.8986



No. 9
PBE Ho7ZnRu4, optimized geometry; total energy = -72.13 eV per cell; SG = No. 12; ρ = 9620 kg/m3; ΔH_f (0 K) = -0.143 eV per atom; calculated volume = 23.36 Å³/atom
1.0
5.2748 0.0000 0.0000
2.6374 7.7869 0.2811
2.6374 0.6726 6.8499
Ho Ru Zn
7 4 1
Direct
0.6739 0.3767 0.2754
0.9257 0.3544 0.7942
0.3261 0.6233 0.7246
0.0743 0.6456 0.2058
0.5000 0.0000 0.0000
0.7847 0.8736 0.5570
0.2153 0.1264 0.4430
0.7023 0.6482 0.9471
0.5663 0.2209 0.6465
0.2977 0.3518 0.0529
0.4337 0.7791 0.3535
0.0000 0.0000 0.0000



No. 10
PBE HoZn2Ru, optimized geometry; total energy = -17.03 eV per cell; SG = No. 225; ρ = 9636 kg/m3; ΔH_f (0 K) = -0.157 eV per atom; calculated volume = 17.09 Å³/atom
1.0
4.5900 0.0000 0.0000
2.2950 3.9751 0.0000
2.2950 1.3250 3.7477
Zn Ho Ru
2 1 1
Direct
0.7500 0.7500 0.7500
0.2500 0.2500 0.2500
0.0000 0.0000 0.0000
0.5000 0.5000 0.5000



No. 11
PBE HoZn2Ru, optimized geometry; total energy = -17.14 eV per cell; SG = No. 123; ρ = 9473 kg/m3; ΔH_f (0 K) = -0.185 eV per atom; calculated volume = 17.39 Å³/atom
1.0
3.4310 0.0000 0.0000
0.0000 3.4310 0.0000
0.0000 0.0000 5.9089
Zn Ru Ho
2 1 1
Direct
0.0000 0.0000 0.7073
0.0000 0.0000 0.2927
0.5000 0.5000 0.5000
0.5000 0.5000 0.0000



No. 12
PBE Ho4ZnRu2, optimized geometry; offset from the most stable computed form = 0.0868 eV/atom; total energy = -79.97 eV per cell; SG = No. 122; ρ = 9590 kg/m3; ΔH_f (0 K) = -0.264 eV per atom; calculated volume = 22.94 Å³/atom
1.0
7.4720 0.0222 -0.0384
-2.4686 7.0524 0.0384
-2.5348 -3.5139 6.0877
Ho Zn Ru
8 2 4
Direct
0.6068 0.7479 0.9973
0.7473 0.2479 0.8568
0.1411 0.3905 0.3932
0.0027 0.6095 0.7506
0.2494 0.2521 0.8589
0.1432 0.8905 0.3911
0.5006 0.1095 0.2527
0.6089 0.7521 0.4994
0.7500 0.5000 0.2500
0.0000 0.0000 0.0000
0.8750 0.1092 0.4842
0.5158 0.3908 0.6250
0.2342 0.6092 0.1250
0.3750 0.8908 0.7658